# NdAl12Ni6 (GGA-PBE, optimized geometry)
# Space-group type ... R-3m (166)
data_NdAl12Ni6
_space_group_name_H-M_alt 'P 1'
_space_group_IT_number 1
_cell_length_a 6.919
_cell_length_b 6.919
_cell_length_c 6.919
_cell_angle_alpha 104.66
_cell_angle_beta 104.66
_cell_angle_gamma 104.66
loop_
_space_group_symop_operation_xyz
'x,y,z'
loop_
_atom_site_label
_atom_site_type_symbol
_atom_site_fract_x
_atom_site_fract_y
_atom_site_fract_z
Nd1 Nd 0.000 0.000 0.000
Al1 Al 0.119 0.500 0.881
Al2 Al 0.119 0.881 0.500
Al3 Al 0.158 0.418 0.418
Al4 Al 0.418 0.158 0.418
Al5 Al 0.418 0.418 0.158
Al6 Al 0.500 0.119 0.881
Al7 Al 0.500 0.881 0.119
Al8 Al 0.582 0.582 0.842
Al9 Al 0.582 0.842 0.582
Al10 Al 0.842 0.582 0.582
Al11 Al 0.881 0.119 0.500
Al12 Al 0.881 0.500 0.119
Ni1 Ni 0.272 0.272 0.701
Ni2 Ni 0.272 0.701 0.272
Ni3 Ni 0.299 0.728 0.728
Ni4 Ni 0.701 0.272 0.272
Ni5 Ni 0.728 0.299 0.728
Ni6 Ni 0.728 0.728 0.299


# Ho2Co2P2C (GGA-PBE, optimized geometry)
# Space-group type ... C2/m (12)
data_Ho2Co2P2C
_space_group_name_H-M_alt 'P 1'
_space_group_IT_number 1
_cell_length_a 5.569
_cell_length_b 5.569
_cell_length_c 6.556
_cell_angle_alpha 124.21
_cell_angle_beta 124.21
_cell_angle_gamma 39.34
loop_
_space_group_symop_operation_xyz
'x,y,z'
loop_
_atom_site_label
_atom_site_type_symbol
_atom_site_fract_x
_atom_site_fract_y
_atom_site_fract_z
Ho1 Ho 0.063 0.063 0.307
Ho2 Ho 0.937 0.937 0.693
Co1 Co 0.307 0.307 0.923
Co2 Co 0.693 0.693 0.077
P1 P 0.328 0.328 0.289
P2 P 0.672 0.672 0.711
C1 C 0.500 0.500 0.000


Number 1: E_tot -93.093 eV for the cell shown, DOS at the Fermi energy 7.62 states/eV/f.u., calculated formation energy -0.459 eV/atom. Number 2: E_tot -49.428 eV for the cell shown, DOS at the Fermi energy 4.46 states/eV/f.u., calculated formation energy -0.860 eV/atom.